No. 1
! Zn2CdC, optimized geometry, DFT PBE; values from VASP
&SYSTEM
  ibrav = 0, nat = 8, ntyp = 3
/
ATOMIC_SPECIES
Zn 65.41 Zn.upf
Cd 112.41 Cd.upf
C 12.01 C.upf
CELL_PARAMETERS angstrom
0.000 4.450 4.450
4.450 0.000 4.450
4.450 4.450 0.000
ATOMIC_POSITIONS angstrom
Zn 0.000 0.000 0.000
Zn 2.225 2.225 0.000
Zn 2.225 0.000 2.225
Zn 0.000 2.225 2.225
Cd 3.337 3.337 3.337
Cd 5.562 5.562 5.562
C 1.112 1.112 1.112
C 7.787 7.787 7.787
! SG: Fd-3m, No. 227
! calculated volume: 176.2 Å³ per cell
! electronic total energy: -10.53 eV per formula unit
! DOS at the Fermi energy: 0.00 states/eV/cell
! crystal system: cubic
! energy above the lowest structure with this stoichiometry: 0 meV/atom

***

No. 2
! AgCl2, optimized geometry, DFT PBE; values from VASP
&SYSTEM
  ibrav = 0, nat = 3, ntyp = 2
/
ATOMIC_SPECIES
Ag 107.87 Ag.upf
Cl 35.45 Cl.upf
CELL_PARAMETERS angstrom
0.000 3.251 3.251
3.251 0.000 3.251
3.251 3.251 0.000
ATOMIC_POSITIONS angstrom
Ag 0.000 0.000 0.000
Cl 1.626 1.626 1.626
Cl 4.877 4.877 4.877
! SG: Fm-3m, No. 225
! calculated volume: 68.7 Å³ per cell
! electronic total energy: -6.80 eV per formula unit
! DOS at the Fermi energy: 6.52 states/eV/cell
! E_form (uncorrected): -8.1 kJ/mol of atoms
! crystal system: cubic

***

No. 3
! Hg3TeAs, optimized geometry, DFT PBE; values from VASP
&SYSTEM
  ibrav = 0, nat = 5, ntyp = 3
/
ATOMIC_SPECIES
Hg 200.59 Hg.upf
Te 127.60 Te.upf
As 74.92 As.upf
CELL_PARAMETERS angstrom
5.313 0.000 0.000
0.000 5.313 0.000
0.000 0.000 5.313
ATOMIC_POSITIONS angstrom
Hg 0.000 0.000 2.657
Hg 0.000 2.657 0.000
Hg 2.657 0.000 0.000
Te 2.657 2.657 2.657
As 0.000 0.000 0.000
! SG: Pm-3m, No. 221
! calculated volume: 150.0 Å³ per cell
! electronic total energy: -7.66 eV per formula unit
! DOS at the Fermi energy: 2.70 states/eV/cell
! E_form (uncorrected): 20.1 kJ/mol of atoms
! crystal system: cubic
! energy above the lowest structure with this stoichiometry: 140 meV/atom

***

No. 4
! BeFe2Pt, optimized geometry, DFT PBE; values from VASP
&SYSTEM
  ibrav = 0, nat = 4, ntyp = 3
/
ATOMIC_SPECIES
Be 9.01 Be.upf
Fe 55.84 Fe.upf
Pt 195.08 Pt.upf
CELL_PARAMETERS angstrom
4.655 -1.406 0.000
4.655 1.406 0.000
-1.662 0.000 3.574
ATOMIC_POSITIONS angstrom
Be 0.000 0.000 0.000
Fe 1.170 0.000 2.722
Fe 6.477 0.000 0.852
Pt 3.824 0.000 1.787
! SG: C2/m, No. 12
! calculated volume: 46.8 Å³ per cell
! electronic total energy: -27.68 eV per formula unit
! DOS at the Fermi energy: 2.38 states/eV/cell
! crystal system: monoclinic

***

No. 5
! Pu2Cd5Hg12, optimized geometry, DFT PBE; values from VASP
&SYSTEM
  ibrav = 0, nat = 19, ntyp = 3
/
ATOMIC_SPECIES
Pu 244.00 Pu.upf
Cd 112.41 Cd.upf
Hg 200.59 Hg.upf
CELL_PARAMETERS angstrom
7.968 -5.171 0.000
7.968 5.171 0.000
-1.241 0.000 5.770
ATOMIC_POSITIONS angstrom
Pu 7.968 2.916 0.000
Pu 7.968 -2.916 0.000
Cd -0.621 0.000 2.885
Cd 2.690 0.000 2.619
Cd 5.399 0.000 1.038
Cd 9.295 0.000 4.733
Cd 12.004 0.000 3.151
Hg 3.750 2.123 4.687
Hg 1.101 0.000 5.451
Hg 5.784 2.600 2.450
Hg 8.910 2.600 3.320
Hg 6.212 0.000 4.220
Hg 10.944 2.123 1.083
Hg 3.750 -2.123 4.687
Hg 8.483 0.000 1.551
Hg 5.784 -2.600 2.450
Hg 8.910 -2.600 3.320
Hg 13.593 0.000 0.320
Hg 10.944 -2.123 1.083
! SG: C2/m, No. 12
! calculated volume: 475.4 Å³ per cell
! electronic total energy: -37.24 eV per formula unit
! DOS at the Fermi energy: 34.20 states/eV/cell
! crystal system: monoclinic

***

No. 6
! Pu2ZnAs3Pt4, optimized geometry, DFT PBE; values from VASP
&SYSTEM
  ibrav = 0, nat = 10, ntyp = 4
/
ATOMIC_SPECIES
Pu 244.00 Pu.upf
Zn 65.41 Zn.upf
As 74.92 As.upf
Pt 195.08 Pt.upf
CELL_PARAMETERS angstrom
4.300 0.000 0.000
0.000 4.300 0.000
0.000 0.000 10.393
ATOMIC_POSITIONS angstrom
Pu 0.000 2.150 2.551
Pu 2.150 0.000 7.842
Zn 0.000 0.000 5.197
As 0.000 2.150 8.980
As 2.150 0.000 1.413
As 2.150 2.150 5.197
Pt 0.000 0.000 0.000
Pt 0.000 2.150 6.546
Pt 2.150 0.000 3.848
Pt 2.150 2.150 0.000
! SG: P-4m2, No. 115
! calculated volume: 192.1 Å³ per cell
! electronic total energy: -74.39 eV per formula unit
! DOS at the Fermi energy: 30.90 states/eV/cell
! crystal system: tetragonal

***

No. 7
! Cu2SnSe4, optimized geometry, DFT PBE; values from VASP
&SYSTEM
  ibrav = 0, nat = 7, ntyp = 3
/
ATOMIC_SPECIES
Cu 63.55 Cu.upf
Sn 118.71 Sn.upf
Se 78.96 Se.upf
CELL_PARAMETERS angstrom
-2.771 2.771 5.568
2.771 -2.771 5.568
2.771 2.771 -5.568
ATOMIC_POSITIONS angstrom
Cu 2.771 0.000 2.784
Cu 0.000 2.771 2.784
Sn 0.000 0.000 0.000
Se 1.228 -1.228 4.149
Se 1.543 1.543 1.419
Se -1.228 1.228 4.149
Se 1.228 1.228 6.987
! SG: I-42m, No. 121
! calculated volume: 171.0 Å³ per cell
! electronic total energy: -27.46 eV per formula unit
! DOS at the Fermi energy: 6.04 states/eV/cell
! E_form (uncorrected): -18.3 kJ/mol of atoms
! crystal system: tetragonal
! energy above the lowest structure with this stoichiometry: 0 meV/atom

***

No. 8
! Cs2MgTl4, optimized geometry, DFT PBE; values from VASP
&SYSTEM
  ibrav = 0, nat = 7, ntyp = 3
/
ATOMIC_SPECIES
Cs 132.91 Cs.upf
Mg 24.30 Mg.upf
Tl 204.38 Tl.upf
CELL_PARAMETERS angstrom
-2.829 2.829 10.181
2.829 -2.829 10.181
2.829 2.829 -10.181
ATOMIC_POSITIONS angstrom
Cs 0.000 0.000 3.177
Cs 0.000 0.000 17.184
Mg 0.000 0.000 10.181
Tl 2.829 0.000 0.000
Tl 0.000 0.000 7.308
Tl 0.000 2.829 0.000
Tl 0.000 0.000 13.054
! SG: I4/mmm, No. 139
! calculated volume: 326.0 Å³ per cell
! electronic total energy: -12.18 eV per formula unit
! DOS at the Fermi energy: 5.71 states/eV/cell
! crystal system: tetragonal
! energy above the lowest structure with this stoichiometry: 110 meV/atom

***

No. 9
! Ho4CdRh2, optimized geometry, DFT PBE; values from VASP
&SYSTEM
  ibrav = 0, nat = 14, ntyp = 3
/
ATOMIC_SPECIES
Ho 164.93 Ho.upf
Cd 112.41 Cd.upf
Rh 102.91 Rh.upf
CELL_PARAMETERS angstrom
7.164 0.000 0.000
-0.718 7.142 0.000
-1.546 -1.736 6.949
ATOMIC_POSITIONS angstrom
Ho 0.000 0.000 0.000
Ho -0.730 -0.806 3.516
Ho -1.310 1.661 6.074
Ho 1.896 2.103 3.583
Ho 3.542 0.329 1.051
Ho 2.370 5.739 4.392
Ho 2.247 2.471 6.860
Ho 5.712 2.767 2.467
Cd -0.031 4.201 5.215
Cd 0.984 4.847 1.766
Rh 0.896 0.014 5.655
Rh 4.301 0.913 3.779
Rh 3.685 0.201 6.691
Rh 4.211 3.694 4.825
! SG: P1, No. 1
! calculated volume: 355.5 Å³ per cell
! electronic total energy: -37.58 eV per formula unit
! DOS at the Fermi energy: 10.67 states/eV/cell
! crystal system: triclinic

***

No. 10
! BeTlF5, optimized geometry, DFT PBE; values from VASP
&SYSTEM
  ibrav = 0, nat = 14, ntyp = 3
/
ATOMIC_SPECIES
Be 9.01 Be.upf
Tl 204.38 Tl.upf
F 19.00 F.upf
CELL_PARAMETERS angstrom
4.020 -3.773 0.000
4.020 3.773 0.000
-3.756 0.000 7.003
ATOMIC_POSITIONS angstrom
Be 1.203 2.717 5.252
Be 3.081 -2.717 1.751
Tl 2.010 1.886 0.000
Tl 0.132 -1.886 3.502
F -0.381 0.171 2.918
F 0.079 1.769 5.802
F -2.259 -0.171 6.420
F 3.081 1.149 1.751
F 2.327 1.769 4.703
F 1.957 -1.769 2.301
F 1.203 -1.149 5.252
F 6.542 0.171 0.584
F 4.205 -1.769 1.201
F 4.664 -0.171 4.085
! SG: C2/c, No. 15
! calculated volume: 212.4 Å³ per cell
! electronic total energy: -32.34 eV per formula unit
! DOS at the Fermi energy: 0.00 states/eV/cell
! E_form (uncorrected): -232.8 kJ/mol of atoms
! crystal system: monoclinic

***

No. 11
! TbHo7Tm2, optimized geometry, DFT PBE; values from VASP
&SYSTEM
  ibrav = 0, nat = 10, ntyp = 3
/
ATOMIC_SPECIES
Tb 158.93 Tb.upf
Ho 164.93 Ho.upf
Tm 168.93 Tm.upf
CELL_PARAMETERS angstrom
4.331 -8.250 0.000
4.331 8.250 0.000
0.000 0.000 5.343
ATOMIC_POSITIONS angstrom
Tb 0.000 0.000 0.000
Ho 1.540 1.851 2.671
Ho 4.331 4.890 0.000
Ho 1.540 -1.851 2.671
Ho 4.331 0.000 2.671
Ho 7.122 1.851 2.671
Ho 4.331 -4.890 0.000
Ho 7.122 -1.851 2.671
Tm 4.331 3.336 2.671
Tm 4.331 -3.336 2.671
! SG: Cmmm, No. 65
! calculated volume: 381.8 Å³ per cell
! electronic total energy: -38.56 eV per formula unit
! DOS at the Fermi energy: 14.26 states/eV/cell
! crystal system: orthorhombic
! energy above the lowest structure with this stoichiometry: 684 meV/atom

***

No. 12
! MnIn2HgGe, optimized geometry, DFT PBE; values from VASP
&SYSTEM
  ibrav = 0, nat = 5, ntyp = 4
/
ATOMIC_SPECIES
Mn 54.94 Mn.upf
In 114.82 In.upf
Hg 200.59 Hg.upf
Ge 72.64 Ge.upf
CELL_PARAMETERS angstrom
5.148 0.000 0.000
0.000 5.148 0.000
0.000 0.000 4.586
ATOMIC_POSITIONS angstrom
Mn 0.000 0.000 0.000
In 0.000 2.574 0.000
In 2.574 0.000 0.000
Hg 2.574 2.574 2.293
Ge 0.000 0.000 2.293
! SG: P4/mmm, No. 123
! calculated volume: 121.5 Å³ per cell
! electronic total energy: -18.76 eV per formula unit
! DOS at the Fermi energy: 3.37 states/eV/cell
! crystal system: tetragonal

***

The lowest calculated volume belongs to which entry? BeFe2Pt

***

What is the formula in the third record? Hg3TeAs